Entry 1:
Entry from Alexandria via LeMat-Bulk: an optimized crystal structure of Ce2NiAs4Ir3 (PBE).

a b c (Å): 4.3405 4.3405 9.6961
angles (deg): 90.00 90.00 90.00
Sites, in units of the cell vectors:
Ce (0.0000, 0.5000, 0.2481)
Ce (0.5000, 0.0000, 0.7519)
Ni (0.5000, 0.5000, 0.0000)
As (0.0000, 0.0000, 0.5000)
As (0.0000, 0.5000, 0.8718)
As (0.5000, 0.0000, 0.1282)
As (0.5000, 0.5000, 0.5000)
Ir (0.0000, 0.0000, 0.0000)
Ir (0.0000, 0.5000, 0.6202)
Ir (0.5000, 0.0000, 0.3798)

energy relative to the elements: -7.603 eV per formula unit

Entry 2:
Entry from Alexandria via LeMat-Bulk: an optimized crystal structure of CeAsIrO (PBE).

a b c (Å): 4.0445 4.0445 8.3000
angles (deg): 90.00 90.00 90.00
Sites, in units of the cell vectors:
Ce (0.2500, 0.2500, 0.1462)
Ce (0.7500, 0.7500, 0.8538)
As (0.2500, 0.2500, 0.6736)
As (0.7500, 0.7500, 0.3264)
Ir (0.2500, 0.7500, 0.5000)
Ir (0.7500, 0.2500, 0.5000)
O (0.2500, 0.7500, 0.0000)
O (0.7500, 0.2500, 0.0000)

uncorrected formation energy: -1.851 eV/atom

Entry 3:
Entry from Alexandria via LeMat-Bulk: an optimized crystal structure of CeAsP2Ir5 (PBE).

a b c (Å): 4.0081 4.0081 10.1198
angles (deg): 90.00 90.00 90.00
Sites, in units of the cell vectors:
Ce (0.0000, 0.0000, 0.0000)
As (0.0000, 0.0000, 0.5000)
P (0.5000, 0.5000, 0.2273)
P (0.5000, 0.5000, 0.7727)
Ir (0.0000, 0.5000, 0.3426)
Ir (0.0000, 0.5000, 0.6574)
Ir (0.5000, 0.0000, 0.3426)
Ir (0.5000, 0.0000, 0.6574)
Ir (0.5000, 0.5000, 0.0000)

energy relative to the elements: -4.632 eV per formula unit

Entry 4:
Entry from Alexandria via LeMat-Bulk: an optimized crystal structure of Ce2As4Ir3Pd (PBE).

a b c (Å): 4.3829 4.3829 9.7724
angles (deg): 90.00 90.00 90.00
Sites, in units of the cell vectors:
Ce (0.0000, 0.5000, 0.2466)
Ce (0.5000, 0.0000, 0.7534)
As (0.0000, 0.0000, 0.0000)
As (0.0000, 0.5000, 0.6353)
As (0.5000, 0.0000, 0.3647)
As (0.5000, 0.5000, 0.0000)
Ir (0.0000, 0.5000, 0.8837)
Ir (0.5000, 0.0000, 0.1163)
Ir (0.5000, 0.5000, 0.5000)
Pd (0.0000, 0.0000, 0.5000)

energy relative to the elements: -7.886 eV per formula unit

Entry 5:
Entry from Alexandria via LeMat-Bulk: an optimized crystal structure of CeAs2IrPd2 (PBE).

a b c (Å): 4.2391 6.8633 7.6874
angles (deg): 90.00 90.00 90.00
Sites, in units of the cell vectors:
Ce (0.0000, 0.0833, 0.0000)
Ce (0.0000, 0.9167, 0.5000)
As (0.0000, 0.3397, 0.3409)
As (0.0000, 0.6603, 0.8409)
As (0.5000, 0.1603, 0.7048)
As (0.5000, 0.8397, 0.2048)
Ir (0.5000, 0.1874, 0.2747)
Ir (0.5000, 0.8126, 0.7747)
Pd (0.0000, 0.3713, 0.6575)
Pd (0.0000, 0.6288, 0.1575)
Pd (0.5000, 0.4233, 0.9497)
Pd (0.5000, 0.5767, 0.4497)

energy relative to the elements: -3.836 eV per formula unit

Entry 6:
Entry from Alexandria via LeMat-Bulk: an optimized crystal structure of Ce2As4IrPt3 (PBE).

a b c (Å): 4.4569 4.4569 9.8222
angles (deg): 90.00 90.00 90.00
Sites, in units of the cell vectors:
Ce (0.0000, 0.5000, 0.2472)
Ce (0.5000, 0.0000, 0.7528)
As (0.0000, 0.0000, 0.5000)
As (0.0000, 0.5000, 0.8718)
As (0.5000, 0.0000, 0.1282)
As (0.5000, 0.5000, 0.5000)
Ir (0.5000, 0.5000, 0.0000)
Pt (0.0000, 0.0000, 0.0000)
Pt (0.0000, 0.5000, 0.6215)
Pt (0.5000, 0.0000, 0.3785)

energy relative to the elements: -7.901 eV per formula unit

Entry 7:
Entry from Alexandria via LeMat-Bulk: an optimized crystal structure of Ce2As4Ir3Pt (PBE).

a b c (Å): 4.3845 4.3845 9.7847
angles (deg): 90.00 90.00 90.00
Sites, in units of the cell vectors:
Ce (0.0000, 0.5000, 0.2463)
Ce (0.5000, 0.0000, 0.7537)
As (0.0000, 0.0000, 0.0000)
As (0.0000, 0.5000, 0.6364)
As (0.5000, 0.0000, 0.3636)
As (0.5000, 0.5000, 0.0000)
Ir (0.0000, 0.5000, 0.8841)
Ir (0.5000, 0.0000, 0.1159)
Ir (0.5000, 0.5000, 0.5000)
Pt (0.0000, 0.0000, 0.5000)

energy relative to the elements: -7.714 eV per formula unit

Entry 8:
Entry from Alexandria via LeMat-Bulk: an optimized crystal structure of CePuAs2Ir2 (PBE).

a b c (Å): 4.2589 4.2589 7.7807
angles (deg): 90.00 90.00 120.00
Sites, in units of the cell vectors:
Ce (0.0000, 0.0000, 0.0000)
Pu (0.0000, 0.0000, 0.5000)
As (0.3333, 0.6667, 0.2361)
As (0.6667, 0.3333, 0.7639)
Ir (0.3333, 0.6667, 0.7292)
Ir (0.6667, 0.3333, 0.2708)

energy relative to the elements: -5.111 eV per formula unit

Entry 9:
Entry from Alexandria via LeMat-Bulk: an optimized crystal structure of Ce2As3Ir4Rh (PBE).

a b c (Å): 4.0397 4.0397 11.2523
angles (deg): 90.00 90.00 90.00
Sites, in units of the cell vectors:
Ce (0.0000, 0.5000, 0.2344)
Ce (0.5000, 0.0000, 0.7656)
As (0.0000, 0.0000, 0.0000)
As (0.0000, 0.5000, 0.6270)
As (0.5000, 0.0000, 0.3730)
Ir (0.0000, 0.0000, 0.5000)
Ir (0.0000, 0.5000, 0.8370)
Ir (0.5000, 0.0000, 0.1630)
Ir (0.5000, 0.5000, 0.5000)
Rh (0.5000, 0.5000, 0.0000)

energy relative to the elements: -6.634 eV per formula unit

Entry 10:
Entry from Alexandria via LeMat-Bulk: an optimized crystal structure of Ce2As4Ir3Ru (PBE).

a b c (Å): 4.3013 4.3013 9.9300
angles (deg): 90.00 90.00 90.00
Sites, in units of the cell vectors:
Ce (0.0000, 0.5000, 0.2481)
Ce (0.5000, 0.0000, 0.7519)
As (0.0000, 0.0000, 0.0000)
As (0.0000, 0.5000, 0.6342)
As (0.5000, 0.0000, 0.3658)
As (0.5000, 0.5000, 0.0000)
Ir (0.0000, 0.5000, 0.8792)
Ir (0.5000, 0.0000, 0.1208)
Ir (0.5000, 0.5000, 0.5000)
Ru (0.0000, 0.0000, 0.5000)

energy relative to the elements: -7.836 eV per formula unit

Entry 11:
Entry from Alexandria via LeMat-Bulk: an optimized crystal structure of Ce2As4IrRu3 (PBE).

a b c (Å): 4.2853 4.2853 9.8772
angles (deg): 90.00 90.00 90.00
Sites, in units of the cell vectors:
Ce (0.0000, 0.5000, 0.2440)
Ce (0.5000, 0.0000, 0.7560)
As (0.0000, 0.0000, 0.0000)
As (0.0000, 0.5000, 0.6355)
As (0.5000, 0.0000, 0.3645)
As (0.5000, 0.5000, 0.0000)
Ir (0.0000, 0.0000, 0.5000)
Ru (0.0000, 0.5000, 0.8795)
Ru (0.5000, 0.0000, 0.1205)
Ru (0.5000, 0.5000, 0.5000)

energy relative to the elements: -7.284 eV per formula unit

Entry 12:
Entry from Alexandria via LeMat-Bulk: an optimized crystal structure of Ce2ScAs3Ir4 (PBE).

a b c (Å): 4.0915 4.0915 11.2271
angles (deg): 90.00 90.00 90.00
Sites, in units of the cell vectors:
Ce (0.0000, 0.5000, 0.2338)
Ce (0.5000, 0.0000, 0.7662)
Sc (0.0000, 0.0000, 0.5000)
As (0.0000, 0.5000, 0.8688)
As (0.5000, 0.0000, 0.1312)
As (0.5000, 0.5000, 0.5000)
Ir (0.0000, 0.0000, 0.0000)
Ir (0.0000, 0.5000, 0.6514)
Ir (0.5000, 0.0000, 0.3486)
Ir (0.5000, 0.5000, 0.0000)

energy relative to the elements: -8.380 eV per formula unit